PBE+U Cr3InF, relaxed; energy above the lowest structure with this stoichiometry = 0.000 eV per atom; crystal system = cubic
1.0
4.582 0.000 0.000
0.000 4.582 0.000
0.000 0.000 4.582
Cr F In
3 1 1
direct
0.500 0.000 0.000 Cr
0.000 0.000 0.500 Cr
0.000 0.500 0.000 Cr
0.000 0.000 0.000 F
0.500 0.500 0.500 In